[1]
Material: AcTm5Cd4
Method: DFT, PBE
State: relaxed

Results
energy of formation	-2.30	eV/f.u.
space group	P4/mmm

a b c (Å): 3.707 3.707 20.096
angles (deg): 90.00 90.00 90.00
Element x y z (fractional)
Cd (0.000, 0.000, 0.224)
Cd (0.000, 0.000, 0.776)
Cd (0.000, 0.000, 0.407)
Cd (0.000, 0.000, 0.593)
Tm (0.500, 0.500, 0.683)
Tm (0.500, 0.500, 0.133)
Tm (0.500, 0.500, 0.867)
Tm (0.500, 0.500, 0.317)
Tm (0.500, 0.500, 0.500)
Ac (0.000, 0.000, 0.000)

[2]
Material: AcYCd
Method: DFT, PBE
State: relaxed

Results
energy of formation	-0.22	eV/f.u.
space group	P3m1
ΔE to the lowest computed polymorph	0.101	eV/atom

a b c (Å): 3.993 5.424 5.424
angles (deg): 120.00 90.00 90.00
Element x y z (fractional)
Y (0.502, 0.667, 0.333)
Ac (0.001, 0.000, 0.000)
Cd (0.498, 0.333, 0.667)

[3]
Material: AcYCd
Method: DFT, PBE
State: relaxed

Results
energy of formation	-0.53	eV/f.u.
space group	I4mm
ΔE to the lowest computed polymorph	0.000	eV/atom

a b c (Å): 3.879 3.879 7.137
angles (deg): 105.77 105.77 90.00
Last column: magnetic moment on the atom in μB.
Element x y z (fractional)
Cd (0.683, 0.683, 0.366)  0.00
Ac (0.008, 0.008, 0.015)  0.06
Y (0.309, 0.309, 0.619)  0.10

[4]
Material: AcYCd4
Method: DFT, PBE
State: relaxed

Results
energy of formation	-1.97	eV/f.u.
space group	P6/mmm
ΔE to the lowest computed polymorph	0.000	eV/atom

a b c (Å): 5.017 5.017 7.612
angles (deg): 90.00 90.00 120.00
Element x y z (fractional)
Y (0.000, 0.000, 0.000)
Cd (0.333, 0.667, 0.216)
Cd (0.333, 0.667, 0.784)
Cd (0.667, 0.333, 0.784)
Cd (0.667, 0.333, 0.216)
Ac (0.000, 0.000, 0.500)

[5]
Material: Ac3Y2Cd2
Method: DFT, PBE
State: relaxed

Results
energy of formation	-0.11	eV/f.u.
space group	Cmmm

a b c (Å): 5.345 3.754 12.454
angles (deg): 90.00 77.61 90.00
Element x y z (fractional)
Ac (0.000, 0.000, 0.000)
Ac (0.149, 0.000, 0.702)
Ac (0.851, 0.000, 0.298)
Cd (0.572, 0.500, 0.855)
Cd (0.428, 0.500, 0.145)
Y (0.713, 0.500, 0.575)
Y (0.287, 0.500, 0.425)

[6]
Material: AcY5Cd6
Method: DFT, PBE
State: relaxed

Results
energy of formation	-3.82	eV/f.u.
space group	Immm

a b c (Å): 5.351 7.699 9.306
angles (deg): 114.43 106.71 90.00
Last column: magnetic moment on the atom in μB.
Element x y z (fractional)
Cd (0.500, 0.274, 0.000)  0.01
Cd (0.827, 0.564, 0.654)  0.01
Cd (0.827, 0.090, 0.654)  0.01
Cd (0.500, 0.726, 0.000)  0.01
Cd (0.173, 0.436, 0.346)  0.01
Cd (0.173, 0.910, 0.346)  0.01
Y (0.000, 0.500, 0.000)  0.06
Y (0.337, 0.837, 0.675)  0.08
Y (0.669, 0.669, 0.338)  0.04
Y (0.331, 0.331, 0.662)  0.04
Y (0.663, 0.163, 0.325)  0.08
Ac (0.000, 0.000, 0.000)  0.08

[7]
Material: AcY3Cd4
Method: DFT, PBE
State: relaxed

Results
energy of formation	-2.45	eV/f.u.
space group	P4/mmm

a b c (Å): 5.397 7.768 10.792
angles (deg): 90.00 90.00 90.00
Last column: magnetic moment on the atom in μB.
Element x y z (fractional)
Cd (0.500, 0.770, 0.000)  0.00
Cd (0.500, 0.230, 0.500)  0.00
Cd (0.500, 0.770, 0.500)  0.00
Cd (0.000, 0.770, 0.250)  0.00
Cd (0.000, 0.230, 0.750)  0.00
Cd (0.000, 0.770, 0.750)  0.00
Cd (0.000, 0.230, 0.250)  0.00
Cd (0.500, 0.230, 0.000)  0.00
Ac (0.000, 0.500, 0.000)  0.04
Ac (0.000, 0.500, 0.500)  0.04
Y (0.000, 0.000, 0.500)  0.02
Y (0.500, 0.500, 0.750)  0.06
Y (0.000, 0.000, 0.000)  0.02
Y (0.500, 0.500, 0.250)  0.06
Y (0.500, 0.000, 0.250)  0.01
Y (0.500, 0.000, 0.750)  0.01

[8]
Material: Ac2YCd
Method: DFT, PBE
State: relaxed

Results
energy of formation	-0.44	eV/f.u.
space group	P4/mmm
ΔE to the lowest computed polymorph	0.000	eV/atom

a b c (Å): 3.991 3.991 9.197
angles (deg): 90.00 90.00 90.00
Element x y z (fractional)
Ac (0.000, 0.000, 0.772)
Ac (0.000, 0.000, 0.228)
Y (0.500, 0.500, 0.500)
Cd (0.500, 0.500, 0.000)

[9]
Material: AcYCd
Method: DFT, PBE
State: relaxed

Results
energy of formation	0.23	eV/f.u.
space group	R-3m
ΔE to the lowest computed polymorph	0.252	eV/atom

a b c (Å): 5.361 5.361 9.457
angles (deg): 73.53 73.53 60.00
Element x y z (fractional)
Ac (0.123, 0.123, 0.632)
Ac (0.877, 0.877, 0.368)
Cd (0.257, 0.257, 0.229)
Cd (0.743, 0.743, 0.771)
Y (0.371, 0.371, 0.886)
Y (0.629, 0.629, 0.114)

[10]
Material: Ac2YCd5
Method: DFT, PBE
State: relaxed

Results
energy of formation	-2.11	eV/f.u.
space group	I4/mmm

a b c (Å): 5.357 5.357 8.805
angles (deg): 107.71 107.71 90.00
Element x y z (fractional)
Cd (0.107, 0.607, 0.213)
Cd (0.393, 0.893, 0.787)
Cd (0.607, 0.107, 0.213)
Cd (0.500, 0.500, 0.000)
Cd (0.893, 0.393, 0.787)
Y (0.000, 0.000, 0.000)
Ac (0.262, 0.262, 0.525)
Ac (0.738, 0.738, 0.475)

[11]
Material: AcYCd3
Method: DFT, PBE
State: relaxed

Results
energy of formation	-1.55	eV/f.u.
space group	Cmcm

a b c (Å): 3.756 5.081 15.124
angles (deg): 90.00 97.13 90.00
Element x y z (fractional)
Cd (0.475, 0.250, 0.951)
Cd (0.525, 0.750, 0.049)
Cd (0.626, 0.750, 0.252)
Cd (0.681, 0.250, 0.363)
Cd (0.374, 0.250, 0.748)
Cd (0.319, 0.750, 0.637)
Ac (0.923, 0.750, 0.846)
Ac (0.077, 0.250, 0.154)
Y (0.213, 0.750, 0.427)
Y (0.787, 0.250, 0.573)

[12]
Material: Ac2YCd
Method: DFT, PBE
State: relaxed

Results
energy of formation	-0.04	eV/f.u.
space group	Fm-3m
ΔE to the lowest computed polymorph	0.100	eV/atom

a b c (Å): 5.876 5.876 5.876
angles (deg): 60.00 60.00 60.00
Element x y z (fractional)
Ac (0.250, 0.250, 0.250)
Ac (0.750, 0.750, 0.750)
Cd (0.000, 0.000, 0.000)
Y (0.500, 0.500, 0.500)

Q: What is the formula in the sixth record?
A: AcY5Cd6

Q: Which of these has the lowest energy of formation?
A: AcY5Cd6

Q: energy of formation of number 1 (AcTm5Cd4)?
A: -2.30 eV/f.u.

Q: Which of these has the lowest energy of formation?
A: AcY5Cd6